No. 1
Computed, not measured: crystalline CsKHCl at its relaxed geometry at the PBE level of DFT.

The energy above the lowest structure with this stoichiometry is 0.0 meV per atom.

It has space group F-43m (No. 216), with a = 7.835 Å, b = 7.835 Å, c = 7.835 Å, α = 90.00°, β = 90.00° and γ = 90.00°. The inequivalent atoms are Cs at (0.000, 0.000, 0.000), K at (0.000, 0.000, 0.500), H at (0.250, 0.250, 0.750) and Cl at (0.250, 0.250, 0.250).

=====

No. 2
Computed, not measured: crystalline HfMoSe2Br at its relaxed geometry at the PBE level of DFT.

The energy above the lowest structure with this stoichiometry is 337.5 meV per atom. For the energy relative to the elements, uncorrected, the calculation gives 504.3 meV per atom.

It has space group P4/mmm (No. 123), with a = 4.974 Å, b = 4.974 Å, c = 4.950 Å, α = 90.00°, β = 90.00° and γ = 90.00°. The inequivalent atoms are Hf at (0.000, 0.000, 0.000), Mo at (0.500, 0.500, 0.500), Se at (0.000, 0.500, 0.500) and Br at (0.500, 0.500, 0.000).

=====

No. 3
Computed, not measured: crystalline HoPuMnCu at its relaxed geometry at the PBE level of DFT.

Its total energy is -7.9613 eV per atom.

It has space group F-43m (No. 216), with a = 6.884 Å, b = 6.884 Å, c = 6.884 Å, α = 90.00°, β = 90.00° and γ = 90.00°. The inequivalent atoms are Ho at (0.000, 0.000, 0.000), Pu at (0.000, 0.000, 0.500), Mn at (0.250, 0.250, 0.750) and Cu at (0.250, 0.250, 0.250).

=====

no.,total magnetic moment (μB per formula unit)
1,0.06
2,3.12
3,2.77